No. 1
Computed, not measured: crystalline YSbSe3 at its relaxed geometry at the PBE-GGA level of DFT.

Structure (extended XYZ):
```
10
Lattice="-2.505 3.092 0.911 -5.511 -3.545 -3.124 -2.254 -4.472 8.984" Properties=species:S:1:pos:R:3 pbc="T T T"
Se -4.151 -4.499 8.435
Se -6.119 -0.425 -1.665
Se -3.137 0.525 3.312
Se -4.575 -2.757 1.352
Y -6.115 -3.280 -1.108
Sb -5.677 -4.910 5.632
Se -7.132 -5.449 3.459
Se -5.695 -2.167 5.418
Y -4.155 -1.644 7.879
Sb -4.593 -0.014 1.138
```

The space group is P2_1/m (11). The volume is 30.48 Å³/atom. The total energy comes out at -5.2708 eV per atom. Its magnetization is 0.0 μB/f.u. For the relative energy among the computed polymorphs, the calculation gives 0 meV/atom. Its uncorrected formation energy is -1.0628 eV/atom.

---

No. 2
Computed, not measured: crystalline Y2SbSe at its relaxed geometry at the PBE-GGA level of DFT.

Structure (extended XYZ):
```
4
Lattice="-5.723 -0.943 -1.597 0.676 -4.198 0.054 -1.122 -0.128 4.099" Properties=species:S:1:pos:R:3 pbc="T T T"
Se -3.252 -4.257 2.836
Y -0.390 -3.786 3.634
Y -3.029 -2.093 0.759
Sb -0.167 -1.623 1.557
```

The space group is P4/mmm (123). The volume is 27.20 Å³/atom. The total energy comes out at -6.5987 eV per atom. Its magnetization is 0.0 μB/f.u. For the relative energy among the computed polymorphs, the calculation gives 8 meV/atom. Its uncorrected formation energy is -1.4649 eV/atom.

---

No. 3
Computed, not measured: crystalline Y4SbSe2 at its relaxed geometry at the PBE-GGA level of DFT.

Structure (extended XYZ):
```
14
Lattice="4.116 0.000 0.000 -2.058 6.640 0.000 0.000 0.000 13.765" Properties=species:S:1:pos:R:3 pbc="T T T"
Y 0.000 3.018 12.075
Y 0.000 3.018 8.572
Se 0.000 1.816 6.055
Y 2.058 0.000 6.883
Sb 2.058 1.379 10.324
Sb 0.000 5.261 3.441
Y 0.000 0.877 3.441
Se 2.058 4.825 12.938
Se 2.058 4.825 7.710
Y 2.058 3.623 1.690
Y 2.058 5.764 10.324
Y 2.058 0.000 0.000
Se 0.000 1.816 0.827
Y 2.058 3.623 5.193
```

The space group is Cmcm (63). The volume is 26.87 Å³/atom. The total energy comes out at -6.6297 eV per atom. Its magnetization is 0.0 μB/f.u. Its uncorrected formation energy is -1.3514 eV/atom.

---

Repeat the second record exactly.
Computed, not measured: crystalline Y2SbSe at its relaxed geometry at the PBE-GGA level of DFT.

Structure (extended XYZ):
```
4
Lattice="-5.723 -0.943 -1.597 0.676 -4.198 0.054 -1.122 -0.128 4.099" Properties=species:S:1:pos:R:3 pbc="T T T"
Se -3.252 -4.257 2.836
Y -0.390 -3.786 3.634
Y -3.029 -2.093 0.759
Sb -0.167 -1.623 1.557
```

The space group is P4/mmm (123). The volume is 27.20 Å³/atom. The total energy comes out at -6.5987 eV per atom. Its magnetization is 0.0 μB/f.u. For the relative energy among the computed polymorphs, the calculation gives 8 meV/atom. Its uncorrected formation energy is -1.4649 eV/atom.